Below is a relaxed structure of RbPt2Au2, with properties calculated at the PBE level.

Calculated values
Total DFT energy (no corrections) in eV/atom: -3.73
Energy of formation in eV/f.u.: 0.970

Unit cell a=4.1728 b=4.1728 c=7.0677 alpha=72.83 beta=72.83 gamma=90.00
Last column: nearest neighbours and their distance in Å.
Fractional coordinates of all 5 atoms:
1 Au 0.6079 0.6079 0.7842  4 Pt 2.77, 1 Au 2.77
2 Au 0.3921 0.3921 0.2158  4 Pt 2.77, 1 Au 2.77
3 Pt 0.7500 0.2500 0.5000  4 Au 2.77, 4 Pt 2.95
4 Pt 0.2500 0.7500 0.5000  4 Au 2.77, 4 Pt 2.95
5 Rb 0.0000 0.0000 0.0000  8 Au 3.26